Record 1
ErSiP2 | PBE | optimized geometry

Values from the calculation:
SG: R-3m (166)

a = 4.2026 Å, b = 4.2026 Å, c = 7.3876 Å
α = 73.47°, β = 73.47°, γ = 60.00°
With the nearest neighbours (Å) after each atom.
Positions (direct):
1 P 0.1009 0.1009 0.6972  1 Si 2.11
2 P 0.8991 0.8991 0.3028  1 Si 2.11
3 Si 0.0000 0.0000 0.0000  2 P 2.11
4 Er 0.5000 0.5000 0.5000  6 P 2.79

***

Record 2
ErSiP | PBE | optimized geometry

Values from the calculation:
SG: R-3m (166)

a = 4.6473 Å, b = 4.6473 Å, c = 7.5323 Å
α = 72.03°, β = 72.03°, γ = 60.00°
With the nearest neighbours (Å) after each atom.
Positions (direct):
1 P 0.2778 0.2778 0.1665  1 Si 2.26
2 P 0.7222 0.7222 0.8335  1 Si 2.26
3 Er 0.4112 0.4112 0.7664  4 P 2.72-2.82
4 Er 0.5888 0.5888 0.2336  4 P 2.72-2.82
5 Si 0.8291 0.8291 0.5126  1 P 2.26
6 Si 0.1709 0.1709 0.4874  1 P 2.26

***

Record 3
Er2SiP | PBE | optimized geometry

Values from the calculation:
SG: Cmcm (63)
E above lowest polymorph: 0 meV per atom

a = 3.8627 Å, b = 4.1069 Å, c = 11.1522 Å
α = 100.61°, β = 90.00°, γ = 90.00°
With the nearest neighbours (Å) after each atom.
Positions (direct):
1 P 0.7500 0.8117 0.6234  6 Er 2.67-2.82
2 P 0.2500 0.1883 0.3766  6 Er 2.67-2.82
3 Er 0.2500 0.3134 0.6268  5 P 2.74-2.82
4 Er 0.2500 0.0665 0.1331  1 P 2.67, 4 Si 2.89
5 Er 0.7500 0.9335 0.8669  1 P 2.67, 4 Si 2.89
6 Er 0.7500 0.6866 0.3732  5 P 2.74-2.82
7 Si 0.7500 0.5373 0.0746  2 Si 2.53
8 Si 0.2500 0.4627 0.9254  2 Si 2.53

***

Record 4
Er6SiTe3P2 | PBE | optimized geometry

Values from the calculation:
SG: C2/m (12)

a = 7.1329 Å, b = 7.1329 Å, c = 7.3780 Å
α = 99.25°, β = 99.25°, γ = 120.02°
With the nearest neighbours (Å) after each atom.
Positions (direct):
1 P 0.6666 0.3334 0.0000  6 Er 2.80
2 P 0.3334 0.6666 0.0000  6 Er 2.80
3 Er 0.5945 0.9292 0.7872  2 P 2.80, 1 Si 2.81, 3 Te 3.11-3.12
4 Er 0.4055 0.0708 0.2128  2 P 2.80, 1 Si 2.81, 3 Te 3.11-3.12
5 Er 0.9292 0.5945 0.7872  2 P 2.80, 1 Si 2.81, 3 Te 3.11-3.12
6 Er 0.0708 0.4055 0.2128  2 P 2.80, 1 Si 2.81, 3 Te 3.11-3.12
7 Er 0.2643 0.2643 0.7878  2 P 2.80, 1 Si 2.81, 3 Te 3.10-3.12
8 Er 0.7357 0.7357 0.2122  2 P 2.80, 1 Si 2.81, 3 Te 3.10-3.12
9 Te 0.5000 0.5000 0.5000  6 Er 3.10-3.12
10 Te 0.1663 0.8337 0.5000  6 Er 3.11-3.12
11 Te 0.8337 0.1663 0.5000  6 Er 3.11-3.12
12 Si 0.0000 0.0000 0.0000  6 Er 2.81

***

Number 1: formation energy (no corrections) -0.165 eV per atom, D(E_F) 1.94 states/eV/cell. Number 2: formation energy (no corrections) -0.690 eV per atom, D(E_F) 0.90 states/eV/cell. Number 3: formation energy (no corrections) -1.202 eV per atom, D(E_F) 2.41 states/eV/cell. Number 4: formation energy (no corrections) -1.386 eV per atom, D(E_F) 2.57 states/eV/cell.